# Li2GaMoF8

An optimized crystal structure of Li2GaMoF8 (PBE with a Hubbard U, Alexandria via LeMat-Bulk).

Cell and atoms, written as POSCAR:
```
Li2GaMoF8
1.0
4.737 0.000 0.000
0.000 6.363 0.000
-0.133 0.000 4.747
Li Ga Mo F
2 1 1 8
Cartesian
0.000 1.566 0.000 Li
0.000 4.797 0.000 Li
2.302 0.000 2.373 Ga
2.302 3.182 2.373 Mo
0.876 3.182 0.892 F
1.003 0.000 1.027 F
1.367 1.490 3.274 F
1.367 4.874 3.274 F
3.237 1.490 1.473 F
3.237 4.874 1.473 F
3.601 0.000 3.720 F
3.728 3.182 3.855 F
```

V: 143.1 Å³/f.u.
space-group type: P2/m
electronic total energy: -5.13 eV/atom